{"formula": "BaNaSe2Br", "functional": "PBE", "state": "optimized geometry", "space_group": "No. 123", "dos_ef_per_ev_fu": 3.0, "e_above_lowest_polymorph_mev_per_atom": 0, "dft_energy_ev_per_fu": -16.534, "e_form_raw_ev_per_atom": -0.930, "lattice_angstrom": [[5.1693, 0.0000, 0.0000], [0.0000, 5.1693, 0.0000], [0.0000, 0.0000, 5.7708]], "species": ["Ba", "Na", "Se", "Se", "Br"], "frac_coords": [[0.0000, 0.0000, 0.0000], [0.5000, 0.5000, 0.5000], [0.0000, 0.5000, 0.5000], [0.5000, 0.0000, 0.5000], [0.5000, 0.5000, 0.0000]]}


{"formula": "NpP2", "functional": "PBE", "state": "optimized geometry", "space_group": "No. 59", "dos_ef_per_ev_fu": 6.2, "dft_energy_ev_per_fu": -25.733, "ef_ev_per_atom": -0.658, "lattice_angstrom": [[3.7547, 0.0000, 0.0000], [0.0000, 3.7699, 0.0000], [0.0000, 0.0000, 7.7225]], "species": ["Np", "Np", "P", "P", "P", "P"], "frac_coords": [[0.2500, 0.2500, 0.2150], [0.7500, 0.7500, 0.7850], [0.2500, 0.2500, 0.8572], [0.2500, 0.7500, 0.4998], [0.7500, 0.2500, 0.5002], [0.7500, 0.7500, 0.1428]]}


{"formula": "LaNCl2", "functional": "PBE", "state": "optimized geometry", "space_group": "No. 166", "dos_ef_per_ev_fu": 0.0, "e_above_lowest_polymorph_mev_per_atom": 66, "dft_energy_ev_per_fu": -19.049, "e_form_raw_ev_per_atom": -0.526, "lattice_angstrom": [[2.5302, 1.4608, 3.4182], [-2.5302, 1.4608, 3.4182], [0.0000, -2.9216, 3.4182]], "species": ["La", "N", "Cl", "Cl"], "frac_coords": [[0.0000, 0.0000, 0.0000], [0.5000, 0.5000, 0.5000], [0.2881, 0.2881, 0.2881], [0.7119, 0.7119, 0.7119]]}


{"formula": "La2YBiC", "functional": "PBE", "state": "optimized geometry", "space_group": "No. 123", "dos_ef_per_ev_fu": 3.7, "dft_energy_ev_per_fu": -31.959, "ef_ev_per_atom": -0.507, "lattice_angstrom": [[5.2431, 0.0000, 0.0000], [0.0000, 5.2431, 0.0000], [0.0000, 0.0000, 4.9455]], "species": ["La", "La", "Y", "Bi", "C"], "frac_coords": [[0.0000, 0.5000, 0.0000], [0.5000, 0.0000, 0.0000], [0.0000, 0.0000, 0.5000], [0.5000, 0.5000, 0.5000], [0.0000, 0.0000, 0.0000]]}


{"formula": "Ba2BeAgAu6", "functional": "PBE", "state": "optimized geometry", "space_group": "No. 225", "dos_ef_per_ev_fu": 3.4, "dft_energy_ev_per_fu": -34.071, "ef_ev_per_atom": -0.398, "lattice_angstrom": [[0.0000, 5.0099, 5.0099], [5.0099, 0.0000, 5.0099], [5.0099, 5.0099, 0.0000]], "species": ["Ba", "Ba", "Be", "Ag", "Au", "Au", "Au", "Au", "Au", "Au"], "frac_coords": [[0.2500, 0.2500, 0.2500], [0.7500, 0.7500, 0.7500], [0.0000, 0.0000, 0.0000], [0.5000, 0.5000, 0.5000], [0.2283, 0.2283, 0.7717], [0.2283, 0.7717, 0.2283], [0.2283, 0.7717, 0.7717], [0.7717, 0.2283, 0.2283], [0.7717, 0.2283, 0.7717], [0.7717, 0.7717, 0.2283]]}


{"formula": "CaDyHgRh", "functional": "PBE", "state": "optimized geometry", "space_group": "No. 216", "dos_ef_per_ev_fu": 2.6, "e_above_lowest_polymorph_mev_per_atom": 94, "dft_energy_ev_per_fu": -16.286, "ef_ev_per_atom": -0.507, "lattice_angstrom": [[0.0000, 3.5774, 3.5774], [3.5774, 0.0000, 3.5774], [3.5774, 3.5774, 0.0000]], "species": ["Ca", "Dy", "Hg", "Rh"], "frac_coords": [[0.0000, 0.0000, 0.0000], [0.5000, 0.5000, 0.5000], [0.7500, 0.7500, 0.7500], [0.2500, 0.2500, 0.2500]]}


{"formula": "Dy3YHo6Tm2", "functional": "PBE", "state": "optimized geometry", "space_group": "No. 12", "dos_ef_per_ev_fu": 16.6, "dft_energy_ev_per_fu": -56.430, "ef_ev_per_atom": 0.021, "lattice_angstrom": [[3.0555, -5.2853, 0.0000], [3.0555, 5.2853, 0.0000], [-2.0263, 0.0000, 11.5091]], "species": ["Dy", "Dy", "Dy", "Y", "Ho", "Ho", "Ho", "Ho", "Ho", "Ho", "Tm", "Tm"], "frac_coords": [[0.0000, 0.0000, 0.0000], [0.3333, 0.6667, 0.0000], [0.6667, 0.3333, 0.0000], [0.5000, 0.5000, 0.5000], [0.0823, 0.4167, 0.2506], [0.2489, 0.2489, 0.7494], [0.4167, 0.0823, 0.2506], [0.5833, 0.9177, 0.7494], [0.7511, 0.7511, 0.2506], [0.9177, 0.5833, 0.7494], [0.1667, 0.8333, 0.5000], [0.8333, 0.1667, 0.5000]]}


{"formula": "Rb2ZrPbSe4", "functional": "PBE", "state": "optimized geometry", "space_group": "No. 10", "dft_energy_ev_per_fu": -37.137, "e_form_raw_ev_per_atom": -1.126, "lattice_angstrom": [[7.5640, 0.0000, 0.0000], [0.0000, 4.1924, 0.0000], [-2.3171, 0.0000, 7.8962]], "species": ["Rb", "Rb", "Zr", "Pb", "Se", "Se", "Se", "Se"], "frac_coords": [[0.0000, 0.0000, 0.0000], [0.5000, 0.5000, 0.0000], [0.0000, 0.5000, 0.5000], [0.5000, 0.0000, 0.5000], [0.2050, 0.0000, 0.6895], [0.2324, 0.5000, 0.3028], [0.7676, 0.5000, 0.6972], [0.7950, 0.0000, 0.3105]]}


{"formula": "Ac2SeS2", "functional": "PBE", "state": "optimized geometry", "space_group": "No. 164", "dos_ef_per_ev_fu": 0.0, "e_above_lowest_polymorph_mev_per_atom": 0, "dft_energy_ev_per_fu": -30.694, "e_form_raw_ev_per_atom": -2.148, "lattice_angstrom": [[4.8488, 0.0000, 0.0000], [-2.4244, 4.1992, 0.0000], [0.0000, 0.0000, 7.6176]], "species": ["Ac", "Ac", "Se", "S", "S"], "frac_coords": [[0.3333, 0.6667, 0.2502], [0.6667, 0.3333, 0.7498], [0.0000, 0.0000, 0.0000], [0.3333, 0.6667, 0.6434], [0.6667, 0.3333, 0.3566]]}


{"formula": "SrCeAs2Rh5", "functional": "PBE", "state": "optimized geometry", "space_group": "No. 123", "dos_ef_per_ev_fu": 3.2, "dft_energy_ev_per_fu": -57.331, "ef_ev_per_atom": -0.407, "lattice_angstrom": [[4.1059, 0.0000, 0.0000], [0.0000, 4.1059, 0.0000], [0.0000, 0.0000, 11.2730]], "species": ["Sr", "Ce", "As", "As", "Rh", "Rh", "Rh", "Rh", "Rh"], "frac_coords": [[0.0000, 0.0000, 0.0000], [0.5000, 0.5000, 0.5000], [0.5000, 0.5000, 0.2094], [0.5000, 0.5000, 0.7906], [0.0000, 0.5000, 0.3240], [0.0000, 0.5000, 0.6760], [0.5000, 0.0000, 0.3240], [0.5000, 0.0000, 0.6760], [0.5000, 0.5000, 0.0000]]}


{"formula": "SrRh2I", "functional": "PBE", "state": "optimized geometry", "space_group": "No. 225", "dos_ef_per_ev_fu": 5.7, "e_above_lowest_polymorph_mev_per_atom": 238, "dft_energy_ev_per_fu": -17.092, "e_form_raw_ev_per_atom": 0.211, "lattice_angstrom": [[0.0000, 3.4731, 3.4731], [3.4731, 0.0000, 3.4731], [3.4731, 3.4731, 0.0000]], "species": ["Sr", "Rh", "Rh", "I"], "frac_coords": [[0.0000, 0.0000, 0.0000], [0.2500, 0.2500, 0.2500], [0.7500, 0.7500, 0.7500], [0.5000, 0.5000, 0.5000]]}


{"formula": "CuTeAs", "functional": "PBE", "state": "optimized geometry", "space_group": "No. 2", "dos_ef_per_ev_fu": 1.3, "dft_energy_ev_per_fu": -11.758, "e_form_raw_ev_per_atom": 0.043, "lattice_angstrom": [[4.0401, 0.0000, 0.0000], [-1.1578, 5.4506, 0.0000], [-1.4474, -2.7170, 6.6478]], "species": ["Cu", "Cu", "Te", "Te", "As", "As"], "frac_coords": [[0.1556, 0.1554, 0.3110], [0.8444, 0.8446, 0.6890], [0.2213, 0.7215, 0.4430], [0.7787, 0.2785, 0.5570], [0.2973, 0.1476, 0.0000], [0.7027, 0.8524, 0.0000]]}


{"formula": "Mg3BiO", "functional": "PBE", "state": "optimized geometry", "space_group": "No. 221", "dos_ef_per_ev_fu": 4.1, "e_above_lowest_polymorph_mev_per_atom": 1572, "dft_energy_ev_per_fu": -10.513, "e_form_raw_ev_per_atom": 0.622, "lattice_angstrom": [[5.4778, 0.0000, 0.0000], [0.0000, 5.4778, 0.0000], [0.0000, 0.0000, 5.4778]], "species": ["Mg", "Mg", "Mg", "Bi", "O"], "frac_coords": [[0.0000, 0.0000, 0.5000], [0.0000, 0.5000, 0.0000], [0.5000, 0.0000, 0.0000], [0.0000, 0.0000, 0.0000], [0.5000, 0.5000, 0.5000]]}


{"formula": "MgZrTcSn", "functional": "PBE", "state": "optimized geometry", "space_group": "No. 216", "dos_ef_per_ev_fu": 4.3, "dft_energy_ev_per_fu": -25.067, "ef_ev_per_atom": -0.139, "lattice_angstrom": [[0.0000, 3.3372, 3.3372], [3.3372, 0.0000, 3.3372], [3.3372, 3.3372, 0.0000]], "species": ["Mg", "Zr", "Tc", "Sn"], "frac_coords": [[0.0000, 0.0000, 0.0000], [0.2500, 0.2500, 0.2500], [0.5000, 0.5000, 0.5000], [0.7500, 0.7500, 0.7500]]}


{"formula": "Cs3Dy3HfS8", "functional": "PBE", "state": "optimized geometry", "space_group": "No. 166", "dos_ef_per_ev_fu": 0.0, "dft_energy_ev_per_fu": -86.510, "e_form_raw_ev_per_atom": -1.811, "lattice_angstrom": [[3.9867, 2.3017, 8.2207], [-3.9867, 2.3017, 8.2207], [0.0000, -4.6034, 8.2207]], "species": ["Cs", "Cs", "Cs", "Dy", "Dy", "Dy", "Hf", "S", "S", "S", "S", "S", "S", "S", "S"], "frac_coords": [[0.0000, 0.5000, 0.5000], [0.5000, 0.0000, 0.5000], [0.5000, 0.5000, 0.0000], [0.0000, 0.0000, 0.5000], [0.0000, 0.5000, 0.0000], [0.5000, 0.0000, 0.0000], [0.5000, 0.5000, 0.5000], [0.2269, 0.2269, 0.2269], [0.2439, 0.7151, 0.7151], [0.2849, 0.2849, 0.7561], [0.2849, 0.7561, 0.2849], [0.7151, 0.2439, 0.7151], [0.7151, 0.7151, 0.2439], [0.7561, 0.2849, 0.2849], [0.7731, 0.7731, 0.7731]]}


{"formula": "K2DyGaSe4", "functional": "PBE", "state": "optimized geometry", "space_group": "No. 15", "dos_ef_per_ev_fu": 1.1, "dft_energy_ev_per_fu": -33.027, "e_form_raw_ev_per_atom": -1.158, "lattice_angstrom": [[6.0001, -6.1132, 0.0000], [6.0001, 6.1132, 0.0000], [-5.7543, 0.0000, 6.0027]], "species": ["K", "K", "K", "K", "Dy", "Dy", "Ga", "Ga", "Se", "Se", "Se", "Se", "Se", "Se", "Se", "Se"], "frac_coords": [[0.0000, 0.0000, 0.0000], [0.0000, 0.0000, 0.5000], [0.0000, 0.5000, 0.0000], [0.5000, 0.0000, 0.5000], [0.0000, 0.5000, 0.5000], [0.5000, 0.0000, 0.0000], [0.5000, 0.5000, 0.0000], [0.5000, 0.5000, 0.5000], [0.2664, 0.7332, 0.9769], [0.2668, 0.7336, 0.5231], [0.2857, 0.3073, 0.5455], [0.3073, 0.2857, 0.0455], [0.6927, 0.7143, 0.9545], [0.7143, 0.6927, 0.4545], [0.7332, 0.2664, 0.4769], [0.7336, 0.2668, 0.0231]]}


{"formula": "PrDy3Ho6", "functional": "PBE", "state": "optimized geometry", "space_group": "No. 146", "dos_ef_per_ev_fu": 20.9, "e_above_lowest_polymorph_mev_per_atom": 133, "dft_energy_ev_per_fu": -43.217, "ef_ev_per_atom": 0.284, "lattice_angstrom": [[4.9021, 2.8303, 3.8823], [-4.9021, 2.8303, 3.8823], [0.0000, -5.6605, 3.8823]], "species": ["Pr", "Dy", "Dy", "Dy", "Ho", "Ho", "Ho", "Ho", "Ho", "Ho"], "frac_coords": [[0.0000, 0.0000, 0.0000], [0.2544, 0.2544, 0.2544], [0.5004, 0.5004, 0.5004], [0.7477, 0.7477, 0.7477], [0.1703, 0.8280, 0.4983], [0.3311, 0.6674, 0.9983], [0.4983, 0.1703, 0.8280], [0.6674, 0.9983, 0.3311], [0.8280, 0.4983, 0.1703], [0.9983, 0.3311, 0.6674]]}


{"formula": "HoTa2C", "functional": "PBE", "state": "optimized geometry", "space_group": "No. 166", "dos_ef_per_ev_fu": 3.3, "dft_energy_ev_per_fu": -37.444, "ef_ev_per_atom": 0.016, "lattice_angstrom": [[1.5687, 0.9057, 8.5837], [-1.5687, 0.9057, 8.5837], [0.0000, -1.8114, 8.5837]], "species": ["Ho", "Ta", "Ta", "C"], "frac_coords": [[0.0000, 0.0000, 0.0000], [0.1196, 0.1196, 0.1196], [0.8804, 0.8804, 0.8804], [0.5000, 0.5000, 0.5000]]}


{"formula": "PrNdTh2As4", "functional": "PBE", "state": "optimized geometry", "space_group": "No. 10", "dos_ef_per_ev_fu": 4.2, "dft_energy_ev_per_fu": -54.756, "ef_ev_per_atom": -1.471, "lattice_angstrom": [[7.3923, 0.0000, 0.0000], [0.0000, 4.2760, 0.0000], [-2.4807, 0.0000, 6.9746]], "species": ["Pr", "Nd", "Th", "Th", "As", "As", "As", "As"], "frac_coords": [[0.0000, 0.0000, 0.0000], [0.0000, 0.5000, 0.5000], [0.5000, 0.0000, 0.5000], [0.5000, 0.5000, 0.0000], [0.2543, 0.0000, 0.7505], [0.2551, 0.5000, 0.2525], [0.7449, 0.5000, 0.7475], [0.7457, 0.0000, 0.2495]]}


{"formula": "LiCeTmSi", "functional": "PBE", "state": "optimized geometry", "space_group": "No. 216", "dos_ef_per_ev_fu": 7.4, "dft_energy_ev_per_fu": -18.810, "e_form_raw_ev_per_atom": -0.267, "lattice_angstrom": [[0.0000, 3.5240, 3.5240], [3.5240, 0.0000, 3.5240], [3.5240, 3.5240, 0.0000]], "species": ["Li", "Ce", "Tm", "Si"], "frac_coords": [[0.0000, 0.0000, 0.0000], [0.7500, 0.7500, 0.7500], [0.2500, 0.2500, 0.2500], [0.5000, 0.5000, 0.5000]]}